A relaxed structure of PmTl2P2Pt7. Source: Alexandria, functional GGA-PBE.

Cell lengths 4.053, 4.053, 14.912 Å; angles 77.88, 77.88, 90.02 degrees
Element x y z (fractional)
Pm  0.000  0.000  0.000
Tl  0.683  0.683  0.400
Tl  0.317  0.317  0.600
P  0.690  0.690  0.753
P  0.310  0.310  0.247
Pt  0.500  0.500  0.000
Pt  0.165  0.165  0.407
Pt  0.835  0.835  0.593
Pt  0.879  0.379  0.158
Pt  0.379  0.879  0.158
Pt  0.621  0.121  0.842
Pt  0.121  0.621  0.842

Computed properties:
DOS(E_F): 6.07 states/eV per cell
SG: C2/m, No. 12
Formation enthalpy at 0 K: -528 meV/atom